Entry 1:
Below is a relaxed Pu3BiRh crystal, with properties calculated at the PBE level. Values from VASP.

Quantum ESPRESSO input file:
```
&SYSTEM
  ibrav = 0, nat = 15, ntyp = 3
/
ATOMIC_SPECIES
Pu 244.00 Pu.upf
Bi 208.98 Bi.upf
Rh 102.91 Rh.upf
CELL_PARAMETERS angstrom
7.224 0.000 0.000
0.000 7.224 0.000
0.000 0.000 7.224
ATOMIC_POSITIONS crystal
Pu 0.000 0.000 0.000
Pu 0.279 0.279 0.279
Pu 0.279 0.279 0.721
Pu 0.279 0.721 0.279
Pu 0.279 0.721 0.721
Pu 0.721 0.279 0.279
Pu 0.721 0.279 0.721
Pu 0.721 0.721 0.279
Pu 0.721 0.721 0.721
Bi 0.000 0.000 0.500
Bi 0.000 0.500 0.000
Bi 0.500 0.000 0.000
Rh 0.000 0.500 0.500
Rh 0.500 0.000 0.500
Rh 0.500 0.500 0.000
```

Computed properties:
For the density of states at the Fermi level, the calculation gives 19.19 states/eV/f.u. As for the electronic total energy: -11.0294 eV/atom. The calculation puts the formation energy from the elements at -0.184 eV per atom.

Entry 2:
Below is a relaxed PuBiRh2 crystal, with properties calculated at the PBE level. Values from VASP.

Quantum ESPRESSO input file:
```
&SYSTEM
  ibrav = 0, nat = 4, ntyp = 3
/
ATOMIC_SPECIES
Pu 244.00 Pu.upf
Bi 208.98 Bi.upf
Rh 102.91 Rh.upf
CELL_PARAMETERS angstrom
3.422 0.000 0.000
0.000 3.422 0.000
0.000 0.000 6.954
ATOMIC_POSITIONS crystal
Pu 0.000 0.000 0.000
Bi 0.000 0.000 0.500
Rh 0.500 0.500 0.229
Rh 0.500 0.500 0.771
```

Computed properties:
For the density of states at the Fermi level, the calculation gives 11.35 states/eV/f.u. As for the electronic total energy: -8.4347 eV/atom. The calculation puts the formation energy from the elements at -0.206 eV per atom.

Entry 3:
Below is a relaxed Pu2BiRh2 crystal, with properties calculated at the PBE level. Values from VASP.

Quantum ESPRESSO input file:
```
&SYSTEM
  ibrav = 0, nat = 10, ntyp = 3
/
ATOMIC_SPECIES
Pu 244.00 Pu.upf
Bi 208.98 Bi.upf
Rh 102.91 Rh.upf
CELL_PARAMETERS angstrom
8.266 0.000 0.000
0.000 4.756 0.000
-2.750 0.000 5.238
ATOMIC_POSITIONS crystal
Pu 0.210 0.000 0.130
Pu 0.290 0.500 0.870
Pu 0.710 0.500 0.130
Pu 0.790 0.000 0.870
Bi 0.000 0.000 0.500
Bi 0.500 0.500 0.500
Rh 0.090 0.500 0.269
Rh 0.410 0.000 0.731
Rh 0.590 0.000 0.269
Rh 0.910 0.500 0.731
```

Computed properties:
For the density of states at the Fermi level, the calculation gives 12.49 states/eV/f.u. As for the electronic total energy: -9.8353 eV/atom. The calculation puts the formation energy from the elements at -0.386 eV per atom.

What did the first record say?
Below is a relaxed Pu3BiRh crystal, with properties calculated at the PBE level. Values from VASP.

Quantum ESPRESSO input file:
```
&SYSTEM
  ibrav = 0, nat = 15, ntyp = 3
/
ATOMIC_SPECIES
Pu 244.00 Pu.upf
Bi 208.98 Bi.upf
Rh 102.91 Rh.upf
CELL_PARAMETERS angstrom
7.224 0.000 0.000
0.000 7.224 0.000
0.000 0.000 7.224
ATOMIC_POSITIONS crystal
Pu 0.000 0.000 0.000
Pu 0.279 0.279 0.279
Pu 0.279 0.279 0.721
Pu 0.279 0.721 0.279
Pu 0.279 0.721 0.721
Pu 0.721 0.279 0.279
Pu 0.721 0.279 0.721
Pu 0.721 0.721 0.279
Pu 0.721 0.721 0.721
Bi 0.000 0.000 0.500
Bi 0.000 0.500 0.000
Bi 0.500 0.000 0.000
Rh 0.000 0.500 0.500
Rh 0.500 0.000 0.500
Rh 0.500 0.500 0.000
```

Computed properties:
For the density of states at the Fermi level, the calculation gives 19.19 states/eV/f.u. As for the electronic total energy: -11.0294 eV/atom. The calculation puts the formation energy from the elements at -0.184 eV per atom.

> What is the formula in the third record?

Pu2BiRh2

> Number 3 is which compound?

Pu2BiRh2